[1]
The following is a PBE-GGA calculation of a geometry-optimized RbCaGe2Pb structure, from Alexandria.

E_form in eV/atom: 0.397
Magnetic moment in Bohr magnetons per cell: 0.000
Fermi-level density of states in states/eV/cell: 5.43
Energy in eV/atom: -2.7858

Lattice parameters (Å, degrees): 5.7394 5.8845 5.7394 90.00 90.00 90.00
With the nearest neighbours (Å) after each atom.
Sites, in units of the cell vectors:
Pb1 0.0000 0.0000 0.0000  4 Ge 2.87, 2 Ca 2.94
Ge1 0.0000 0.0000 0.5000  2 Pb 2.87
Ge2 0.5000 0.0000 0.0000  2 Pb 2.87
Ca1 0.0000 0.5000 0.0000  2 Pb 2.94
Rb1 0.5000 0.5000 0.5000  4 Ca 4.06, 8 Ge 4.11


[2]
The following is a PBE-GGA calculation of a geometry-optimized RbBaCoCl6 structure, from Alexandria.

Magnetic moment in Bohr magnetons per cell: 0.166
Formation energy from raw total energies in eV per atom: -1.4619
Energy in eV/atom: -3.8037

Lattice parameters (Å, degrees): 7.2141 7.2141 6.8082 90.00 90.00 59.99
With the nearest neighbours (Å) after each atom.
Sites, in units of the cell vectors:
Rb1 0.9999 0.0000 0.0000  6 Cl 3.40
Ba1 0.6666 0.6666 0.5000  6 Cl 3.06
Co1 0.3333 0.3334 0.5000  6 Cl 2.29
Cl1 0.0794 0.3298 0.3007  1 Co 2.29
Cl2 0.3298 0.0795 0.6993  1 Co 2.29
Cl3 0.5906 0.3300 0.6993  1 Co 2.29
Cl4 0.0792 0.5909 0.6992  1 Co 2.29
Cl5 0.3299 0.5906 0.3007  1 Co 2.29
Cl6 0.5908 0.0793 0.3008  1 Co 2.29


[3]
The following is a PBE-GGA calculation of a geometry-optimized MnFeAsRh structure, from Alexandria.

E_form in eV/atom: -0.112
Magnetic moment in Bohr magnetons per cell: 5.005
Fermi-level density of states in states/eV/cell: 2.19
Energy in eV/atom: -7.5204

Lattice parameters (Å, degrees): 4.2025 4.2025 4.2025 60.00 60.00 60.00
With the nearest neighbours (Å) after each atom.
Sites, in units of the cell vectors:
As1 0.0000 0.0000 0.0000  4 Fe 2.57, 4 Rh 2.57
Mn1 0.5000 0.5000 0.5000  4 Fe 2.57, 4 Rh 2.57
Rh1 0.7500 0.7500 0.7500  4 Mn 2.57, 4 As 2.57
Fe1 0.2500 0.2500 0.2500  4 Mn 2.57, 4 As 2.57


[4]
The following is a PBE-GGA calculation of a geometry-optimized LaPm6Y4 structure, from Alexandria.

E_form in eV/atom: 0.113
Magnetic moment in Bohr magnetons per cell: 0.000
Fermi-level density of states in states/eV/cell: 40.55
Energy in eV/atom: -5.2773
Energy above the most stable polymorph in this dataset in meV/atom: 0

Lattice parameters (Å, degrees): 5.9061 5.7047 26.0499 90.00 90.00 121.17
With the nearest neighbours (Å) after each atom.
Sites, in units of the cell vectors:
La1 0.7880 0.5759 0.2500  3 Pm 3.32-3.34
La2 0.2120 0.4241 0.7500  3 Pm 3.32-3.34
Pm1 0.5000 0.0000 0.0000  8 Y 3.25-3.59
Pm2 0.5000 0.0000 0.5000  8 Y 3.25-3.59
Pm3 0.1221 0.2441 0.3192  4 Y 3.59-3.68, 5 Pm 3.60-3.85, 3 La 3.73-3.82
Pm4 0.8779 0.7559 0.6808  4 Y 3.59-3.68, 5 Pm 3.60-3.85, 3 La 3.73-3.82
Pm5 0.8779 0.7559 0.8192  4 Y 3.59-3.68, 5 Pm 3.60-3.85, 3 La 3.73-3.82
Pm6 0.1221 0.2441 0.1808  4 Y 3.59-3.68, 5 Pm 3.60-3.85, 3 La 3.73-3.82
Pm7 0.8002 0.6005 0.4010  7 Y 3.39-3.74
Pm8 0.1998 0.3995 0.5990  7 Y 3.39-3.74
Pm9 0.1998 0.3995 0.9010  7 Y 3.39-3.74
Pm10 0.8002 0.6005 0.0990  7 Y 3.39-3.74
Pm11 0.4479 0.8958 0.2500  2 Y 3.29, 3 La 3.32-3.34, 2 Pm 3.66
Pm12 0.5521 0.1042 0.7500  2 Y 3.29, 3 La 3.32-3.34, 2 Pm 3.66
Y1 0.8496 0.6992 0.5434  8 Pm 3.49-3.74, 2 Y 3.65-3.70
Y2 0.4572 0.9145 0.1237  6 Pm 3.25-3.59
Y3 0.1504 0.3008 0.4566  8 Pm 3.49-3.74, 2 Y 3.65-3.70
Y4 0.5428 0.0855 0.8763  6 Pm 3.25-3.59
Y5 0.8496 0.6992 0.9566  8 Pm 3.49-3.74, 2 Y 3.65-3.70
Y6 0.1504 0.3008 0.0434  8 Pm 3.49-3.74, 2 Y 3.65-3.70
Y7 0.5428 0.0855 0.6237  6 Pm 3.25-3.59
Y8 0.4572 0.9145 0.3763  6 Pm 3.25-3.59


[5]
The following is a PBE-GGA calculation of a geometry-optimized CuW2Br structure, from Alexandria.

Magnetic moment in Bohr magnetons per cell: 0.000
Fermi-level density of states in states/eV/cell: 3.34
Formation energy from raw total energies in eV per atom: 1.1778
Energy in eV/atom: -6.7411
Energy above the most stable polymorph in this dataset in meV/atom: 651

Lattice parameters (Å, degrees): 4.6155 4.6155 2.8862 90.00 90.00 90.00
With the nearest neighbours (Å) after each atom.
Sites, in units of the cell vectors:
Br1 0.5000 0.0000 0.5000  8 W 2.72, 2 Br 2.89
Cu1 0.0000 0.5000 0.5000  8 W 2.72, 2 Cu 2.89
W1 0.0000 0.0000 0.0000  4 Br 2.72, 4 Cu 2.72, 2 W 2.89
W2 0.5000 0.5000 0.0000  4 Br 2.72, 4 Cu 2.72, 2 W 2.89


[6]
The following is a PBE-GGA calculation of a geometry-optimized FeAs2Os structure, from Alexandria.

E_form in eV/atom: 0.657
Magnetic moment in Bohr magnetons per cell: 3.428
Fermi-level density of states in states/eV/cell: 3.97
Energy in eV/atom: -6.5912
Energy above the most stable polymorph in this dataset in meV/atom: 547

Lattice parameters (Å, degrees): 4.4177 4.4177 4.4177 60.00 60.00 60.00
With the nearest neighbours (Å) after each atom.
Sites, in units of the cell vectors:
As1 0.0000 0.0000 0.0000  4 As 2.71, 4 Os 2.71
As2 0.2500 0.2500 0.2500  4 As 2.71, 4 Fe 2.71
Fe1 0.5000 0.5000 0.5000  4 Os 2.71, 4 As 2.71
Os1 0.7500 0.7500 0.7500  4 Fe 2.71, 4 As 2.71


[7]
The following is a PBE-GGA calculation of a geometry-optimized TaNb4Re2 structure, from Alexandria.

E_form in eV/atom: 0.333
Magnetic moment in Bohr magnetons per cell: 0.000
Fermi-level density of states in states/eV/cell: 4.46
Energy in eV/atom: -10.6705

Lattice parameters (Å, degrees): 5.5768 5.5768 5.5768 102.57 102.57 124.39
With the nearest neighbours (Å) after each atom.
Sites, in units of the cell vectors:
Ta1 0.5000 0.5000 0.0000  12 Nb 3.05-3.21
Nb1 0.1911 0.1911 0.3821  4 Nb 2.67-2.85, 4 Re 2.85
Nb2 0.8089 0.1911 0.0000  4 Nb 2.67-2.85, 4 Re 2.85
Nb3 0.1911 0.8089 0.0000  4 Nb 2.67-2.85, 4 Re 2.85
Nb4 0.8089 0.8089 0.6179  4 Nb 2.67-2.85, 4 Re 2.85
Re1 0.2500 0.7500 0.5000  2 Re 2.60, 8 Nb 2.85
Re2 0.7500 0.2500 0.5000  2 Re 2.60, 8 Nb 2.85


[8]
The following is a PBE-GGA calculation of a geometry-optimized NaCeCdBr6 structure, from Alexandria.

Magnetic moment in Bohr magnetons per cell: 2.000
Fermi-level density of states in states/eV/cell: 16.83
Formation energy from raw total energies in eV per atom: -1.4149
Energy in eV/atom: -3.4378

Lattice parameters (Å, degrees): 7.2730 7.2730 13.4652 90.00 90.00 120.00
With the nearest neighbours (Å) after each atom.
Sites, in units of the cell vectors:
Na1 0.0000 0.0000 0.0000  6 Br 3.08
Na2 0.0000 0.0000 0.5000  6 Br 3.08
Ce1 0.3333 0.6667 0.2500  6 Br 2.93
Ce2 0.6667 0.3333 0.7500  6 Br 2.93
Cd1 0.6667 0.3333 0.2500  6 Br 2.83
Cd2 0.3333 0.6667 0.7500  6 Br 2.83
Br1 0.6559 0.6445 0.1285  1 Cd 2.83, 1 Ce 2.93, 1 Na 3.08
Br2 0.9886 0.3441 0.1285  1 Cd 2.83, 1 Ce 2.93, 1 Na 3.08
Br3 0.3441 0.9886 0.6285  1 Cd 2.83, 1 Ce 2.93, 1 Na 3.08
Br4 0.0114 0.6559 0.8715  1 Cd 2.83, 1 Ce 2.93, 1 Na 3.08
Br5 0.3555 0.3441 0.3715  1 Cd 2.83, 1 Ce 2.93, 1 Na 3.08
Br6 0.9886 0.6445 0.3715  1 Cd 2.83, 1 Ce 2.93, 1 Na 3.08
Br7 0.6445 0.9886 0.8715  1 Cd 2.83, 1 Ce 2.93, 1 Na 3.08
Br8 0.6559 0.0114 0.3715  1 Cd 2.83, 1 Ce 2.93, 1 Na 3.08
Br9 0.0114 0.3555 0.6285  1 Cd 2.83, 1 Ce 2.93, 1 Na 3.08
Br10 0.3555 0.0114 0.1285  1 Cd 2.83, 1 Ce 2.93, 1 Na 3.08
Br11 0.6445 0.6559 0.6285  1 Cd 2.83, 1 Ce 2.93, 1 Na 3.08
Br12 0.3441 0.3555 0.8715  1 Cd 2.83, 1 Ce 2.93, 1 Na 3.08